Entry 1:
An optimized crystal structure of Re5Sb, computed with PBEsol.

The structure belongs to space group Cm (No. 8); the cell edges are 10.227, 2.878 and 6.566 Å and the angles 90.00°, 106.48° and 90.00°. The inequivalent atoms are Re at (0.000, 0.000, 0.000), Re at (0.046, 0.000, 0.632), Re at (0.133, 0.500, 0.356), Re at (0.209, 0.500, 0.940), Re at (0.321, 0.000, 0.676) and Sb at (0.358, 0.000, 0.276).

For the final energy, the calculation gives -11.606 eV per atom. The formation energy from raw total energies comes out at 0.264 eV/atom. Its total magnetization is 0.000 μB/cell. As for the volume: 185.29 Å³ per cell.

Entry 2:
An optimized crystal structure of RbCS3, computed with PBEsol.

The structure belongs to space group Pm-3m (No. 221); the cell edges are 4.403, 4.403 and 4.403 Å and the angles 90.00°, 90.00° and 90.00°. The inequivalent atoms are Rb at (0.000, 0.000, 0.000), C at (0.500, 0.500, 0.500) and S at (0.000, 0.500, 0.500).

For the final energy, the calculation gives -3.942 eV per atom. The formation energy from raw total energies comes out at 0.822 eV/atom. Its total magnetization is 0.000 μB/cell. As for the volume: 85.34 Å³ per cell.

Entry 3:
An optimized crystal structure of Ti2CdO, computed with PBEsol.

The structure belongs to space group Fm-3m (No. 225); the cell edges are 6.185, 6.185 and 6.185 Å and the angles 90.00°, 90.00° and 90.00°. The inequivalent atoms are Ti at (0.250, 0.250, 0.250), Cd at (0.000, 0.000, 0.000) and O at (0.000, 0.000, 0.500).

For the final energy, the calculation gives -5.716 eV per atom. The formation energy from raw total energies comes out at 0.057 eV/atom. Its total magnetization is 0.001 μB/cell. As for the volume: 236.60 Å³ per cell.